# 1
DFT (GGA-PBE) results for crystalline FeAs3 at its relaxed geometry.

Geometry as CIF:
```
data_FeAs3
_chemical_formula_sum 'Fe2 As6'
_cell_length_a 7.7061
_cell_length_b 7.7061
_cell_length_c 2.8965
_cell_angle_alpha 90.00
_cell_angle_beta 90.00
_cell_angle_gamma 120.00
_symmetry_space_group_name_H-M 'P 63/m m c'
_symmetry_Int_Tables_number 194
_symmetry_space_group_name_Hall '-P 6c 2c'
loop_
_atom_site_label
_atom_site_fract_x
_atom_site_fract_y
_atom_site_fract_z
Fe1 0.3333 0.6667 0.2500
As1 0.1917 0.3833 0.7500
```

Output
Excess energy over the best structure of this formula in the dataset in meV/atom: 98
DFT total energy in eV/atom: -5.46
N(E_F) in states/eV/cell: 4.59
Calculated formation energy in eV per atom: 0.14
Volume in Å³ per atom: 18.62

# 2
DFT (GGA-PBE) results for crystalline Pm7SnRu4 at its relaxed geometry.

Geometry as CIF:
```
data_Pm7SnRu4
_chemical_formula_sum 'Pm14 Sn2 Ru8'
_cell_length_a 13.629
_cell_length_b 5.738
_cell_length_c 9.873
_cell_angle_alpha 90.00
_cell_angle_beta 126.21
_cell_angle_gamma 90.00
_symmetry_space_group_name_H-M 'C 1 2/m 1'
_symmetry_Int_Tables_number 12
_symmetry_space_group_name_Hall '-C 2y'
loop_
_atom_site_label
_atom_site_fract_x
_atom_site_fract_y
_atom_site_fract_z
Pm1 0.000 0.000 0.000
Pm2 0.080 0.500 0.378
Pm3 0.180 0.000 0.635
Pm4 0.207 0.500 0.884
Sn1 0.000 0.500 0.000
Ru1 0.064 0.000 0.775
Ru2 0.196 0.000 0.348
```

Output
DFT total energy in eV/atom: -6.22
N(E_F) in states/eV/cell: 19.74
Calculated formation energy in eV per atom: -0.03
Volume in Å³ per atom: 25.96

# 3
DFT (GGA-PBE) results for crystalline FeCuOs2 at its relaxed geometry.

Geometry as CIF:
```
data_FeCuOs2
_chemical_formula_sum 'Fe2 Cu2 Os4'
_cell_length_a 3.768
_cell_length_b 3.768
_cell_length_c 7.376
_cell_angle_alpha 90.00
_cell_angle_beta 90.00
_cell_angle_gamma 90.00
_symmetry_space_group_name_H-M 'I 4/m m m'
_symmetry_Int_Tables_number 139
_symmetry_space_group_name_Hall '-I 4 2'
loop_
_atom_site_label
_atom_site_fract_x
_atom_site_fract_y
_atom_site_fract_z
Fe1 0.000 0.000 0.000
Cu1 0.000 0.000 0.500
Os1 0.000 0.500 0.250
```

Output
Excess energy over the best structure of this formula in the dataset in meV/atom: 131
DFT total energy in eV/atom: -8.42
N(E_F) in states/eV/cell: 8.10
Calculated formation energy in eV per atom: 0.33
Volume in Å³ per atom: 13.09

# 4
DFT (GGA-PBE) results for crystalline K3Ag2AuCl9 at its relaxed geometry.

Geometry as CIF:
```
data_K3Ag2AuCl9
_chemical_formula_sum 'K3 Ag2 Au1 Cl9'
_cell_length_a 7.2516
_cell_length_b 7.2516
_cell_length_c 8.8879
_cell_angle_alpha 90.00
_cell_angle_beta 90.00
_cell_angle_gamma 120.00
_symmetry_space_group_name_H-M 'P -3 m 1'
_symmetry_Int_Tables_number 164
_symmetry_space_group_name_Hall '-P 3 2"'
loop_
_atom_site_label
_atom_site_fract_x
_atom_site_fract_y
_atom_site_fract_z
K1 0.0000 0.0000 0.0000
K2 0.3333 0.6667 0.6894
Ag1 0.3333 0.6667 0.1692
Au1 0.0000 0.0000 0.5000
Cl1 0.0000 0.5000 0.0000
Cl2 0.1645 0.3291 0.3372
```

Output
Formation energy (no corrections) in meV/atom: -1000
DFT total energy in eV/atom: -2.93
N(E_F) in states/eV/cell: 4.82
Volume in Å³ per atom: 26.98

# 5
DFT (GGA-PBE) results for crystalline Be2InBr at its relaxed geometry.

Geometry as CIF:
```
data_Be2InBr
_chemical_formula_sum 'Be4 In2 Br2'
_cell_length_a 4.356
_cell_length_b 4.356
_cell_length_c 8.166
_cell_angle_alpha 90.00
_cell_angle_beta 90.00
_cell_angle_gamma 90.00
_symmetry_space_group_name_H-M 'I 4/m m m'
_symmetry_Int_Tables_number 139
_symmetry_space_group_name_Hall '-I 4 2'
loop_
_atom_site_label
_atom_site_fract_x
_atom_site_fract_y
_atom_site_fract_z
Be1 0.000 0.500 0.250
In1 0.000 0.000 0.000
Br1 0.000 0.000 0.500
```

Output
Formation energy (no corrections) in meV/atom: 966
Excess energy over the best structure of this formula in the dataset in meV/atom: 713
DFT total energy in eV/atom: -2.00
N(E_F) in states/eV/cell: 4.36
Volume in Å³ per atom: 19.37

# 6
DFT (GGA-PBE) results for crystalline Zr4CoRe at its relaxed geometry.

Geometry as CIF:
```
data_Zr4CoRe
_chemical_formula_sum 'Zr16 Co4 Re4'
_cell_length_a 7.824
_cell_length_b 7.824
_cell_length_c 7.824
_cell_angle_alpha 90.00
_cell_angle_beta 90.00
_cell_angle_gamma 90.00
_symmetry_space_group_name_H-M 'F -4 3 m'
_symmetry_Int_Tables_number 216
_symmetry_space_group_name_Hall 'F -4 2 3'
loop_
_atom_site_label
_atom_site_fract_x
_atom_site_fract_y
_atom_site_fract_z
Zr1 0.124 0.124 0.376
Co1 0.000 0.000 0.000
Re1 0.250 0.250 0.750
```

Output
DFT total energy in eV/atom: -8.15
N(E_F) in states/eV/cell: 39.88
Calculated formation energy in eV per atom: 0.81
Volume in Å³ per atom: 19.96

# 7
DFT (GGA-PBE) results for crystalline Ba12Ag5Pd2 at its relaxed geometry.

Geometry as CIF:
```
data_Ba12Ag5Pd2
_chemical_formula_sum 'Ba24 Ag10 Pd4'
_cell_length_a 19.134
_cell_length_b 9.001
_cell_length_c 10.691
_cell_angle_alpha 90.00
_cell_angle_beta 105.87
_cell_angle_gamma 90.00
_symmetry_space_group_name_H-M 'C 1 2/m 1'
_symmetry_Int_Tables_number 12
_symmetry_space_group_name_Hall '-C 2y'
loop_
_atom_site_label
_atom_site_fract_x
_atom_site_fract_y
_atom_site_fract_z
Ba1 0.001 0.000 0.284
Ba2 0.011 0.500 0.309
Ba3 0.147 0.254 0.063
Ba4 0.171 0.237 0.599
Ag1 0.000 0.500 0.000
Ag2 0.188 0.000 0.336
Ag3 0.200 0.000 0.862
Pd1 0.000 0.241 0.500
```

Output
DFT total energy in eV/atom: -2.75
N(E_F) in states/eV/cell: 25.24
Calculated formation energy in eV per atom: -0.24
Volume in Å³ per atom: 46.61

# 8
DFT (GGA-PBE) results for crystalline Y4Mg3Ag at its relaxed geometry.

Geometry as CIF:
```
data_Y4Mg3Ag
_chemical_formula_sum 'Y4 Mg3 Ag1'
_cell_length_a 3.755
_cell_length_b 3.755
_cell_length_c 15.056
_cell_angle_alpha 90.00
_cell_angle_beta 90.00
_cell_angle_gamma 90.00
_symmetry_space_group_name_H-M 'P 4/m m m'
_symmetry_Int_Tables_number 123
_symmetry_space_group_name_Hall '-P 4 2'
loop_
_atom_site_label
_atom_site_fract_x
_atom_site_fract_y
_atom_site_fract_z
Y1 0.000 0.000 0.117
Y2 0.000 0.000 0.372
Mg1 0.500 0.500 0.247
Mg2 0.500 0.500 0.500
Ag1 0.500 0.500 0.000
```

Output
DFT total energy in eV/atom: -4.35
N(E_F) in states/eV/cell: 9.58
Calculated formation energy in eV per atom: -0.16
Volume in Å³ per atom: 26.54